Record 1
# UNb2Ga

UNb2Ga after structural relaxation (PBE, Alexandria via LeMat-Bulk).

Cell lengths 3.318, 3.318, 8.290 Å; angles 78.46, 78.46, 60.00 degrees
Each line ends with the local moment (μB).
Sites, in units of the cell vectors:
Nb 0.250 0.250 0.251  0.02
Nb 0.750 0.750 0.749  0.02
U 0.000 0.000 0.000  1.01
Ga 0.500 0.500 0.500  -0.01

D(E_F) in states/eV/cell: 6.861
Total energy in Ry/atom: -0.612

***

Record 2
# Pr3IrPt2

Pr3IrPt2 after structural relaxation (PBE, Alexandria via LeMat-Bulk).

Cell lengths 4.198, 12.094, 12.051 Å; angles 90.00, 90.00, 90.00 degrees
Sites, in units of the cell vectors:
Pr 0.250 0.377 0.048
Pr 0.750 0.623 0.952
Pr 0.750 0.877 0.452
Pr 0.250 0.123 0.548
Pr 0.250 0.693 0.220
Pr 0.750 0.307 0.780
Pr 0.750 0.193 0.280
Pr 0.250 0.807 0.720
Pr 0.250 0.445 0.378
Pr 0.750 0.555 0.622
Pr 0.750 0.945 0.122
Pr 0.250 0.055 0.878
Ir 0.250 0.125 0.123
Ir 0.750 0.875 0.877
Ir 0.750 0.625 0.377
Ir 0.250 0.375 0.623
Pt 0.250 0.698 0.500
Pt 0.750 0.302 0.500
Pt 0.750 0.198 0.000
Pt 0.250 0.802 0.000
Pt 0.250 0.004 0.322
Pt 0.750 0.996 0.678
Pt 0.750 0.504 0.178
Pt 0.250 0.496 0.822

D(E_F) in states/eV/cell: 14.695
Total energy in Ry/atom: -0.496